(1)
# CuSnN2F, relaxed, DFT PBE-GGA
data_CuSnN2F
_cell_length_a 3.893
_cell_length_b 3.893
_cell_length_c 3.881
_cell_angle_alpha 90.00
_cell_angle_beta 90.00
_cell_angle_gamma 90.00
_symmetry_space_group_name_H-M 'P 1'
_symmetry_Int_Tables_number 1
loop_
_symmetry_equiv_pos_as_xyz
'x,y,z'
loop_
_atom_site_label
_atom_site_fract_x
_atom_site_fract_y
_atom_site_fract_z
_atom_site_occupancy
Cu1 0.000 0.000 0.000 1
Sn1 0.500 0.500 0.500 1
N1 0.000 0.500 0.000 1
N2 0.500 0.000 0.000 1
F1 0.000 0.000 0.500 1
# Space group: P4/mmm (123)
# Total magnetic moment (μB per cell): 0.0

(2)
# NbP2PdO, relaxed, DFT PBE-GGA
data_NbP2PdO
_cell_length_a 4.929
_cell_length_b 4.929
_cell_length_c 3.829
_cell_angle_alpha 90.00
_cell_angle_beta 90.00
_cell_angle_gamma 90.00
_symmetry_space_group_name_H-M 'P 1'
_symmetry_Int_Tables_number 1
loop_
_symmetry_equiv_pos_as_xyz
'x,y,z'
loop_
_atom_site_label
_atom_site_fract_x
_atom_site_fract_y
_atom_site_fract_z
_atom_site_occupancy
Nb1 0.000 0.000 0.000 1
P1 0.000 0.500 0.000 1
P2 0.500 0.000 0.000 1
Pd1 0.500 0.500 0.500 1
O1 0.000 0.000 0.500 1
# Space group: P4/mmm (123)
# Total magnetic moment (μB per cell): 0.0

no.,distance to the lowest polymorph of the same formula (eV/atom),N(E_F) (states/eV/atom)
1,0.000,0.681
2,0.000,0.840